PBE TlVS2Cl, optimized geometry; spin magnetization = 1.02 μB per cell; E_form (uncorrected) = -0.61 eV/atom; final energy = -4.93 eV per atom; energy above the most stable polymorph in this dataset = 0 kJ/mol of formula units
1.0
4.633 0.000 0.000
0.000 4.633 0.000
0.000 0.000 5.156
Tl V S Cl
1 1 2 1
Direct
0.500 0.500 0.500
0.000 0.000 0.000
0.000 0.500 0.000
0.500 0.000 0.000
0.000 0.000 0.500